This record from the Alexandria database describes TaFe2CuO6 after structural relaxation. The functional is GGA+U.

extended XYZ file:
```
10
Lattice="5.151 0.125 -0.224 2.686 4.545 -0.261 2.407 1.398 4.652" Properties=species:S:1:pos:R:3 pbc="T T T"
Cu 2.594 1.586 0.166
O 6.007 4.439 2.978
Ta 7.717 4.569 2.083
O 4.075 4.329 0.964
Fe 5.133 3.003 1.949
O 5.778 1.651 3.295
Fe 2.524 1.497 4.264
O 6.835 3.112 0.977
O 4.343 1.473 1.043
O 3.598 3.121 3.352
```

Values from the calculation:
For the calculated density, the calculation gives 6.78 g/cm³. The spin magnetization is 6.03 Bohr magnetons per cell. As for the final energy: -7.230 eV/atom. The space-group type is P1 (1).